5
Lattice="-2.363 2.363 6.501 2.363 -2.363 6.501 2.363 2.363 -6.501" Properties=species:S:1:pos:R:3 comment="Y2Sn2Pd, relaxed, DFT PBE-GGA" magmom_total_mub_per_cell=0.34 polymorph_energy_mev_per_atom=476 pbc="T T T"
Y 2.363 0.000 3.250
Y 0.000 2.363 3.250
Sn 0.000 0.000 1.308
Sn 0.000 0.000 11.693
Pd 0.000 0.000 6.501



8
Lattice="6.861 0.000 0.000 -3.430 5.942 0.000 0.000 0.000 6.251" Properties=species:S:1:pos:R:3 comment="ZrNiBr6, relaxed, DFT PBE-GGA" magmom_total_mub_per_cell=2.00 dft_energy_ev_per_atom=-3.991 pbc="T T T"
Zr 0.000 0.000 0.000
Ni 0.000 0.000 3.126
Br -1.042 1.805 1.627
Br -2.388 4.137 4.624
Br 2.084 0.000 1.627
Br 1.042 1.805 4.624
Br 4.777 0.000 4.624
Br 2.388 4.137 1.627



4
Lattice="0.000 3.649 3.649 3.649 0.000 3.649 3.649 3.649 0.000" Properties=species:S:1:pos:R:3 comment="HfIn2Sn, relaxed, DFT PBE-GGA" magmom_total_mub_per_cell=0.02 dft_energy_ev_per_atom=-4.609 pbc="T T T"
Hf 0.000 0.000 0.000
In 1.825 1.825 1.825
In 3.649 3.649 3.649
Sn 5.474 5.474 5.474



3
Lattice="0.000 3.363 3.363 3.363 0.000 3.363 3.363 3.363 0.000" Properties=species:S:1:pos:R:3 comment="LuPuZn, relaxed, DFT PBE-GGA" magmom_total_mub_per_cell=6.57 formation_energy_mev_per_atom=207 polymorph_energy_mev_per_atom=0 pbc="T T T"
Lu 0.000 0.000 0.000
Pu 3.363 3.363 3.363
Zn 1.682 1.682 1.682



10
Lattice="9.015 -1.987 0.000 9.015 1.987 0.000 -1.894 0.000 8.396" Properties=species:S:1:pos:R:3 comment="Pr2Y2CI3Cl2, relaxed, DFT PBE-GGA" magmom_total_mub_per_cell=0.32 polymorph_energy_mev_per_atom=25 pbc="T T T"
Pr 2.466 0.000 0.541
Pr 13.670 0.000 7.854
Y 8.617 0.000 1.591
Y 7.519 0.000 6.804
C 0.000 0.000 0.000
I -0.947 0.000 4.198
I 4.753 0.000 5.424
I 11.383 0.000 2.971
Cl 5.777 0.000 1.416
Cl 10.359 0.000 6.980



10
Lattice="3.589 0.000 0.000 0.000 3.589 0.000 0.000 0.000 17.950" Properties=species:S:1:pos:R:3 comment="Tb4PmZn5, relaxed, DFT PBE-GGA" magmom_total_mub_per_cell=0.10 formation_energy_mev_per_atom=-338 pbc="T T T"
Tb 0.000 0.000 1.774
Tb 0.000 0.000 5.331
Tb 0.000 0.000 12.619
Tb 0.000 0.000 16.176
Pm 0.000 0.000 8.975
Zn 1.794 1.794 0.000
Zn 1.794 1.794 3.559
Zn 1.794 1.794 7.079
Zn 1.794 1.794 10.871
Zn 1.794 1.794 14.390



10
Lattice="2.330 -11.921 0.000 2.330 11.921 0.000 0.000 0.000 4.555" Properties=species:S:1:pos:R:3 comment="PrCuSn3, relaxed, DFT PBE-GGA" magmom_total_mub_per_cell=0.01 dft_energy_ev_per_atom=-4.484 pbc="T T T"
Pr 2.330 7.900 0.000
Pr 2.330 -7.900 0.000
Cu 2.330 2.669 2.278
Cu 2.330 -2.669 2.278
Sn 2.330 10.486 2.278
Sn 2.330 5.173 2.278
Sn 2.330 1.423 0.000
Sn 2.330 -1.423 0.000
Sn 2.330 -5.173 2.278
Sn 2.330 -10.486 2.278



8
Lattice="4.480 0.000 0.000 0.000 4.480 0.000 0.000 0.000 9.739" Properties=species:S:1:pos:R:3 comment="BaHfAsO, relaxed, DFT PBE-GGA" magmom_total_mub_per_cell=0.01 polymorph_energy_mev_per_atom=580 pbc="T T T"
Ba 1.120 3.360 0.000
Ba 3.360 1.120 0.000
Hf 1.120 1.120 4.799
Hf 3.360 3.360 4.941
As 1.120 1.120 2.305
As 3.360 3.360 7.434
O 1.120 3.360 4.870
O 3.360 1.120 4.870